1.
Below is an optimized crystal structure of PmUSe2O, with properties calculated at the PBE-GGA level.

Properties
The calculation puts the total magnetization at 2.793 μB/f.u. Its density of states at the Fermi level is 4.92 states/eV/f.u. The calculation puts the uncorrected formation energy at -2.040 eV per atom.

Lattice parameters (Å, degrees): 4.051 4.051 14.226 90.00 90.00 90.00
Last column: magnetic moment on the atom in μB.
Element x y z (fractional)
Pm: 0.500 0.000 0.582  0.00
Pm: 0.000 0.500 0.418  0.00
U: 0.500 0.000 0.111  2.56
U: 0.000 0.500 0.889  2.56
Se: 0.000 0.500 0.699  -0.06
Se: 0.000 0.500 0.098  -0.06
Se: 0.500 0.000 0.902  -0.06
Se: 0.500 0.000 0.301  -0.06
O: 0.000 0.000 0.500  -0.01
O: 0.500 0.500 0.500  -0.01

***

2.
Below is an optimized crystal structure of PbW4, with properties calculated at the PBE-GGA level.

Properties
The calculation puts the total magnetization at 0.000 μB/f.u. Its density of states at the Fermi level is 3.33 states/eV/f.u. Its distance to the lowest polymorph of the same formula is 0 meV per atom.

Lattice parameters (Å, degrees): 6.531 6.531 6.531 142.30 142.30 54.37
Element x y z (fractional)
Pb: 0.000 0.000 0.000
W: 0.750 0.250 0.500
W: 0.250 0.750 0.500
W: 0.620 0.620 0.000
W: 0.380 0.380 0.000

***

3.
Below is an optimized crystal structure of ScZn6CuAg, with properties calculated at the PBE-GGA level.

Properties
The calculation puts the total magnetization at 0.000 μB/f.u. Its density of states at the Fermi level is 4.66 states/eV/f.u. The calculation puts the total DFT energy (no corrections) at -41.4 eV/cell.

Lattice parameters (Å, degrees): 6.828 8.866 7.627 125.54 116.59 90.00
Element x y z (fractional)
Sc: 0.706 0.456 0.412
Sc: 0.294 0.544 0.588
Zn: 0.563 0.813 0.125
Zn: 0.982 0.232 0.964
Zn: 0.934 0.157 0.255
Zn: 0.321 0.598 0.255
Zn: 0.321 0.157 0.255
Zn: 0.934 0.598 0.255
Zn: 0.437 0.187 0.875
Zn: 0.018 0.768 0.036
Zn: 0.066 0.843 0.745
Zn: 0.679 0.402 0.745
Zn: 0.679 0.843 0.745
Zn: 0.066 0.402 0.745
Cu: 0.500 0.500 0.000
Cu: 0.500 0.000 0.000
Ag: 0.500 0.000 0.500
Ag: 0.000 0.000 0.500

***

4.
Below is an optimized crystal structure of Re3GePt, with properties calculated at the PBE-GGA level.

Properties
The calculation puts the total magnetization at 0.000 μB/f.u. Its density of states at the Fermi level is 5.71 states/eV/f.u. Its distance to the lowest polymorph of the same formula is 0 meV per atom.

Lattice parameters (Å, degrees): 4.486 4.486 4.486 90.00 90.00 90.00
Element x y z (fractional)
Re: 0.000 0.500 0.000
Re: 0.000 0.000 0.500
Re: 0.500 0.000 0.000
Ge: 0.000 0.000 0.000
Pt: 0.500 0.500 0.500